# PBE Dy6In2Pd, optimized geometry
data_Dy6In2Pd
_chemical_formula_sum 'Dy12 In4 Pd2'
_symmetry_space_group_name_H-M 'I m m m'
_symmetry_Int_Tables_number 71
_symmetry_space_group_name_Hall '-I 2 2'
_cell_length_a 5.0794
_cell_length_b 7.2617
_cell_length_c 15.0699
_cell_angle_alpha 90.00
_cell_angle_beta 90.00
_cell_angle_gamma 90.00
loop_
_atom_site_label
_atom_site_type_symbol
_atom_site_fract_x
_atom_site_fract_y
_atom_site_fract_z
Dy1 Dy 0.0000 0.2313 0.0000
Dy2 Dy 0.0000 0.2595 0.3419
In1 In 0.0000 0.5000 0.1671
Pd1 Pd 0.0000 0.5000 0.5000
# - total moment (μB per cell) = 0.00
# - formation enthalpy at 0 K (eV/atom) = -0.22
# - calculated volume (A^3/atom) = 30.88